[1]
Material: Cs3U3TaS8
Method: DFT, PBE
State: optimized geometry

Unit cell a=7.837 b=7.836 c=9.478 alpha=114.42 beta=90.00 gamma=120.00
Each line ends with the local moment (μB).
Sites, in units of the cell vectors:
Cs (0.000, 0.000, 0.000)  0.00
Cs (0.000, 0.500, 0.000)  0.00
Cs (0.500, 0.500, 0.000)  0.00
U (0.500, 0.000, 0.500)  2.55
U (0.500, 0.500, 0.500)  2.55
U (0.000, 0.500, 0.500)  2.55
Ta (0.000, 0.000, 0.500)  0.88
S (0.271, 0.542, 0.312)  -0.06
S (0.729, 0.458, 0.688)  -0.06
S (0.786, 0.572, 0.325)  -0.04
S (0.214, 0.428, 0.675)  -0.04
S (0.786, 0.039, 0.325)  -0.04
S (0.214, 0.961, 0.675)  -0.04
S (0.252, 0.039, 0.325)  -0.04
S (0.748, 0.961, 0.675)  -0.04

Results
As for the energy relative to the elements, uncorrected: -1276 meV per atom. As for the total moment: 9.76 μB/f.u. For the total energy, the calculation gives -100.4 eV for the cell shown.

[2]
Material: ReHg2Br8
Method: DFT, PBE
State: optimized geometry

Unit cell a=6.736 b=9.077 c=9.077 alpha=48.36 beta=95.28 gamma=95.28
Each line ends with the local moment (μB).
Sites, in units of the cell vectors:
Re (0.000, 0.000, 0.000)  2.13
Hg (0.518, 0.841, 0.841)  0.03
Hg (0.482, 0.159, 0.159)  0.03
Br (0.248, 0.813, 0.288)  0.05
Br (0.248, 0.288, 0.813)  0.05
Br (0.752, 0.187, 0.712)  0.05
Br (0.366, 0.300, 0.300)  0.03
Br (0.752, 0.712, 0.187)  0.05
Br (0.127, 0.860, 0.860)  0.03
Br (0.873, 0.140, 0.140)  0.03
Br (0.634, 0.700, 0.700)  0.03

Results
As for the energy relative to the elements, uncorrected: -312 meV per atom. As for the total moment: 3.00 μB/f.u. For the total energy, the calculation gives -29.9 eV for the cell shown.

total energy of number 1 (Cs3U3TaS8)? -100.4 eV for the cell shown